No. 1
The following is a PBE calculation of PuTiSn after structural relaxation, from Alexandria via LeMat-Bulk.

Structure (CIF):
```
data_PuTiSn
_chemical_formula_sum 'Pu2 Ti2 Sn2'
_symmetry_space_group_name_H-M 'P 1'
_symmetry_Int_Tables_number 1
_symmetry_space_group_name_Hall 'P 1'
_cell_length_a 3.5310
_cell_length_b 3.3881
_cell_length_c 10.3266
_cell_angle_alpha 80.56
_cell_angle_beta 90.00
_cell_angle_gamma 90.00
loop_
_atom_site_label
_atom_site_fract_x
_atom_site_fract_y
_atom_site_fract_z
Sn1 0.2500 0.1407 0.7187
Sn2 0.7500 0.8593 0.2813
Pu1 0.2500 0.4631 0.0737
Pu2 0.7500 0.5369 0.9263
Ti1 0.7500 0.7154 0.5692
Ti2 0.2500 0.2846 0.4308
```

***

No. 2
The following is a PBE calculation of PuTiSn after structural relaxation, from Alexandria via LeMat-Bulk.

Structure (CIF):
```
data_PuTiSn
_chemical_formula_sum 'Pu1 Ti1 Sn1'
_symmetry_space_group_name_H-M 'P 1'
_symmetry_Int_Tables_number 1
_symmetry_space_group_name_Hall 'P 1'
_cell_length_a 3.3414
_cell_length_b 4.9097
_cell_length_c 4.9097
_cell_angle_alpha 120.00
_cell_angle_beta 90.00
_cell_angle_gamma 90.00
loop_
_atom_site_label
_atom_site_fract_x
_atom_site_fract_y
_atom_site_fract_z
Ti1 0.1673 0.3333 0.6667
Sn1 0.1661 0.0000 0.0000
Pu1 0.6666 0.6667 0.3333
```

***

Number 1: size of the total moment 2.29 Bohr magnetons per cell, ΔH_f (0 K) -64.4 meV/atom. Number 2: size of the total moment 5.55 Bohr magnetons per cell, ΔH_f (0 K) -55.2 meV/atom.